Entry from the Alexandria database: an optimized crystal structure of Ag2IrAu (GGA-PBE).

Properties
volume	68	Å³/f.u.
calculated formation energy	28.0	kJ per mole of atoms
spin magnetization	0.000	μB per atom
energy relative to the lowest polymorph listed for this composition	0.074	eV/atom
DOS(E_F)	0.6539	states/eV per atom

CIF file:
```
data_Ag2IrAu
_cell_length_a 2.8281
_cell_length_b 4.8115
_cell_length_c 4.9711
_cell_angle_alpha 90.00
_cell_angle_beta 90.00
_cell_angle_gamma 90.00
_symmetry_space_group_name_H-M 'P m m 2'
_symmetry_Int_Tables_number 25
_symmetry_space_group_name_Hall 'P 2 -2'
loop_
_atom_site_label
_atom_site_type_symbol
_atom_site_fract_x
_atom_site_fract_y
_atom_site_fract_z
Ag1 Ag 0.0000 0.0000 0.0000
Ag2 Ag 0.5000 0.5000 0.1106
Ir1 Ir 0.5000 0.0000 0.5058
Au1 Au 0.0000 0.5000 0.5999
```